No. 1
First-principles (PBE) data for crystalline HgAuI at its relaxed geometry, as listed in Alexandria.

Cell: 4.217 4.217 5.618 Å, 90.00 90.00 120.00°
Element x y z (fractional)
I 0.667 0.333 0.375
Au 0.333 0.667 0.680
Hg 0.000 0.000 0.945

Summary:
Relative energy among the computed polymorphs   117.2 meV per atom

=====

No. 2
First-principles (PBE) data for crystalline Hg8Au2I at its relaxed geometry, as listed in Alexandria.

Cell: 7.243 6.997 6.997 Å, 118.17 83.52 83.52°
Element x y z (fractional)
I 0.157 0.087 0.087
Au 0.545 0.612 0.369
Au 0.545 0.369 0.612
Hg 0.315 0.051 0.610
Hg 0.315 0.610 0.051
Hg 0.775 0.709 0.709
Hg 0.936 0.198 0.587
Hg 0.936 0.587 0.198
Hg 0.186 0.589 0.589
Hg 0.646 0.205 0.949
Hg 0.646 0.949 0.205

=====

No. 3
First-principles (PBE) data for crystalline Hg2Au3I8 at its relaxed geometry, as listed in Alexandria.

Cell: 7.680 7.449 24.218 Å, 98.51 90.00 121.03°
Element x y z (fractional)
Hg 0.036 0.586 0.874
Hg 0.450 0.414 0.626
Hg 0.964 0.414 0.126
Hg 0.550 0.586 0.374
Au 0.015 0.000 0.250
Au 0.985 0.000 0.750
Au 0.861 0.240 0.565
Au 0.621 0.760 0.935
Au 0.139 0.760 0.435
Au 0.379 0.240 0.065
I 0.190 0.410 0.029
I 0.780 0.590 0.471
I 0.810 0.590 0.971
I 0.220 0.410 0.529
I 0.558 0.058 0.100
I 0.500 0.942 0.400
I 0.442 0.942 0.900
I 0.500 0.058 0.600
I 0.188 0.393 0.216
I 0.796 0.607 0.284
I 0.060 0.206 0.860
I 0.854 0.794 0.640
I 0.940 0.794 0.140
I 0.146 0.206 0.360
I 0.204 0.393 0.716
I 0.812 0.607 0.784

=====

No. 4
First-principles (PBE) data for crystalline Hg4AuI at its relaxed geometry, as listed in Alexandria.

Cell: 6.830 8.849 7.581 Å, 125.71 93.34 90.00°
Element x y z (fractional)
Hg 0.257 0.762 0.524
Hg 0.387 0.143 0.724
Hg 0.000 0.286 0.000
Hg 0.613 0.419 0.276
Hg 0.743 0.238 0.476
Hg 0.613 0.857 0.276
Hg 0.000 0.714 0.000
Hg 0.387 0.581 0.724
Au 0.312 0.539 0.077
Au 0.688 0.461 0.923
I 0.839 0.848 0.695
I 0.161 0.152 0.305

Summary:
Relative energy among the computed polymorphs   9.0 meV per atom

=====

No. 5
First-principles (PBE) data for crystalline Hg7AuI12 at its relaxed geometry, as listed in Alexandria.

Cell: 10.587 10.587 10.587 Å, 108.54 108.54 108.54°
Element x y z (fractional)
Hg 0.958 0.696 0.903
Hg 0.304 0.097 0.042
Hg 0.097 0.042 0.304
Hg 0.500 0.500 0.500
Hg 0.903 0.958 0.696
Hg 0.696 0.903 0.958
Hg 0.042 0.304 0.097
Au 0.000 0.000 0.000
I 0.010 0.307 0.829
I 0.693 0.171 0.990
I 0.406 0.183 0.475
I 0.817 0.525 0.594
I 0.171 0.990 0.693
I 0.525 0.594 0.817
I 0.475 0.406 0.183
I 0.829 0.010 0.307
I 0.183 0.475 0.406
I 0.594 0.817 0.525
I 0.307 0.829 0.010
I 0.990 0.693 0.171

=====

No. 6
First-principles (PBE) data for crystalline Hg4AuI at its relaxed geometry, as listed in Alexandria.

Cell: 6.810 11.070 12.583 Å, 103.51 90.00 90.00°
Element x y z (fractional)
Hg 0.547 0.371 0.817
Hg 0.047 0.129 0.183
Hg 0.453 0.629 0.183
Hg 0.953 0.871 0.817
Hg 0.964 0.280 0.829
Hg 0.464 0.220 0.171
Hg 0.036 0.720 0.171
Hg 0.536 0.780 0.829
Hg 0.218 0.544 0.682
Hg 0.718 0.956 0.318
Hg 0.782 0.456 0.318
Hg 0.282 0.044 0.682
Hg 0.514 0.753 0.503
Hg 0.014 0.747 0.497
Hg 0.486 0.247 0.497
Hg 0.986 0.253 0.503
Au 0.258 0.792 0.674
Au 0.758 0.708 0.326
Au 0.742 0.208 0.326
Au 0.242 0.292 0.674
I 0.768 0.610 0.942
I 0.268 0.890 0.058
I 0.232 0.390 0.058
I 0.732 0.110 0.942

Summary:
Relative energy among the computed polymorphs   0.0 meV per atom

=====

No. 7
First-principles (PBE) data for crystalline HgAuI at its relaxed geometry, as listed in Alexandria.

Cell: 4.263 6.699 6.715 Å, 71.87 90.00 89.99°
Element x y z (fractional)
Hg 0.895 0.671 0.654
Hg 0.896 0.171 0.154
Au 0.396 0.421 0.904
Au 0.395 0.921 0.404
I 0.553 0.671 0.154
I 0.239 0.171 0.654

Summary:
Relative energy among the computed polymorphs   44.1 meV per atom

=====

No. 8
First-principles (PBE) data for crystalline Hg3AuI at its relaxed geometry, as listed in Alexandria.

Cell: 6.060 6.060 6.060 Å, 90.00 90.00 90.00°
Element x y z (fractional)
I 0.000 0.000 0.000
Au 0.500 0.500 0.500
Hg 0.000 0.500 0.000
Hg 0.000 0.000 0.500
Hg 0.500 0.000 0.000

Summary:
Relative energy among the computed polymorphs   681.0 meV per atom

=====

What did we get for uncorrected formation energy? Answer: 0.0576, 0.0015, -0.1225, -0.0251, -0.1502, -0.0341, -0.0155, 0.6334 eV/atom, in the order shown.